*w*
A plane-wave DFT calculation with GGA-PBE was carried out for a geometry-optimized LaPrI6 structure.

Cell: 7.810 14.594 7.822 Å, 90.00 107.41 90.00°
Space group C2/m (No. 12)
Symmetry-distinct sites (fractional):
La 0.000 0.000 0.000 [2 per cell]
Pr 0.000 0.500 0.500 [2 per cell]
I 0.248 0.351 0.747 [8 per cell]
I 0.248 0.500 0.249 [4 per cell]

Computed properties:
* theoretical density: 4065 kg/m3
* volume: 53.167 A^3/atom
* crystal system: monoclinic

---

*x*
A plane-wave DFT calculation with GGA-PBE was carried out for a geometry-optimized LaPrI6 structure.

Cell: 7.8768 7.8768 21.5301 Å, 90.00 90.00 120.00°
Space group R-3 (No. 148, hexagonal axes)
Symmetry-distinct sites (fractional):
La 0.0000 0.0000 0.0000 [3 per cell]
Pr 0.0000 0.0000 0.5000 [3 per cell]
I 0.0011 0.3315 0.5829 [18 per cell]

Computed properties:
* theoretical density: 4484 kg/m3
* volume: 48.195 A^3/atom
* crystal system: trigonal

---

Here are the energies relative to the best structure, in kJ/mol of atoms: *w* 0.0; *x* 1.8.

---

*w*
A plane-wave DFT calculation with GGA-PBE was carried out for a geometry-optimized LaPrI structure.

Cell: 3.9841 3.9841 8.0383 Å, 90.00 90.00 120.00°
Space group P3m1 (No. 156)
Symmetry-distinct sites (fractional):
La 0.0000 0.0000 0.0000 [1 per cell]
Pr 0.3333 0.6667 0.6388 [1 per cell]
I 0.6667 0.3333 0.3240 [1 per cell]

Computed properties:
* theoretical density: 6112 kg/m3
* volume: 36.834 A^3/atom
* crystal system: trigonal

---

*x*
A plane-wave DFT calculation with GGA-PBE was carried out for a geometry-optimized LaPrI structure.

Cell: 3.971 17.599 6.260 Å, 90.00 90.00 90.00°
Space group Cmcm (No. 63)
Symmetry-distinct sites (fractional):
La 0.000 0.138 0.250 [4 per cell]
Pr 0.000 0.459 0.250 [4 per cell]
I 0.000 0.198 0.750 [4 per cell]

Computed properties:
* theoretical density: 6175 kg/m3
* volume: 36.456 A^3/atom
* crystal system: orthorhombic

---

*y*
A plane-wave DFT calculation with GGA-PBE was carried out for a geometry-optimized LaPrI structure.

Cell: 3.809 3.809 14.707 Å, 90.00 90.00 90.00°
Space group I4mm (No. 107)
Symmetry-distinct sites (fractional):
La 0.000 0.000 0.000 [2 per cell]
Pr 0.000 0.000 0.683 [2 per cell]
I 0.000 0.000 0.341 [2 per cell]

Computed properties:
* theoretical density: 6331 kg/m3
* volume: 35.562 A^3/atom
* crystal system: tetragonal

---

Here are the energies relative to the best structure, in kJ/mol of atoms: *w* 3.2; *x* 0.0; *y* 9.5.

---

*w*
A plane-wave DFT calculation with GGA-PBE was carried out for a geometry-optimized LaPrI2 structure.

Cell: 5.573 5.573 3.952 Å, 90.00 90.00 90.00°
Space group P4/mmm (No. 123)
Symmetry-distinct sites (fractional):
La 0.000 0.000 0.000 [1 per cell]
Pr 0.500 0.500 0.000 [1 per cell]
I 0.000 0.500 0.500 [2 per cell]

Computed properties:
* theoretical density: 7218 kg/m3
* volume: 30.691 A^3/atom
* crystal system: tetragonal

---

*x*
A plane-wave DFT calculation with GGA-PBE was carried out for a geometry-optimized LaPrI2 structure.

Cell: 3.9660 3.9660 29.2574 Å, 90.00 90.00 120.00°
Space group R3m (No. 160, hexagonal axes)
Symmetry-distinct sites (fractional):
La 0.0000 0.0000 0.0000 [3 per cell]
Pr 0.0000 0.0000 0.8362 [3 per cell]
I 0.0000 0.0000 0.4190 [3 per cell]
I 0.0000 0.0000 0.5839 [3 per cell]

Computed properties:
* theoretical density: 6670 kg/m3
* volume: 33.212 A^3/atom
* crystal system: trigonal

---

*y*
A plane-wave DFT calculation with GGA-PBE was carried out for a geometry-optimized LaPrI2 structure.

Cell: 3.9660 3.9660 33.4353 Å, 90.00 90.00 120.00°
Space group R-3m (No. 166, hexagonal axes)
Symmetry-distinct sites (fractional):
La 0.0000 0.0000 0.0000 [3 per cell]
Pr 0.0000 0.0000 0.5000 [3 per cell]
I 0.0000 0.0000 0.0974 [6 per cell]

Computed properties:
* theoretical density: 5837 kg/m3
* volume: 37.954 A^3/atom
* crystal system: trigonal

---

Here are the energies relative to the best structure, in kJ/mol of atoms: *w* 6.6; *x* 0.0; *y* 13.9.